Run w
Material: VCuTeN2
Method: DFT, PBE-GGA
State: optimized geometry

Cell lengths 3.8069, 3.8069, 5.1733 Å; angles 90.00, 90.00, 90.00 degrees
Last column: nearest neighbours and their distance in Å.
Positions (direct):
N: 0.0000 0.5000 0.0000  2 Cu 1.90
N: 0.5000 0.0000 0.0000  2 Cu 1.90
Te: 0.0000 0.0000 0.5000  2 Cu 2.59, 4 V 2.69
Cu: 0.0000 0.0000 0.0000  4 N 1.90
V: 0.5000 0.5000 0.5000  4 Te 2.69

## Properties
Crystal system = tetragonal
Density = 5.982 g cm⁻³
Size of the total moment = 0.0 μB per cell

***

Run x
Material: VCuTeN2
Method: DFT, PBE-GGA
State: optimized geometry

Cell lengths 3.7398, 3.7398, 5.7547 Å; angles 90.00, 90.00, 90.00 degrees
Last column: nearest neighbours and their distance in Å.
Positions (direct):
N: 0.0000 0.5000 0.0000  2 V 1.87
N: 0.5000 0.0000 0.0000  2 V 1.87
Te: 0.0000 0.0000 0.5000  4 Cu 2.64, 2 V 2.88
Cu: 0.5000 0.5000 0.5000  4 Te 2.64
V: 0.0000 0.0000 0.0000  4 N 1.87

## Properties
Crystal system = tetragonal
Density = 5.573 g cm⁻³
Size of the total moment = 0.4 μB per cell

***

Of them, run x has the highest stability.

***

Run w
Material: CuTeWN2
Method: DFT, PBE-GGA
State: optimized geometry

Cell lengths 3.8960, 3.8960, 5.2710 Å; angles 90.00, 90.00, 90.00 degrees
Last column: nearest neighbours and their distance in Å.
Positions (direct):
Te: 0.0000 0.0000 0.5000  2 Cu 2.64, 4 W 2.75
Cu: 0.0000 0.0000 0.0000  4 N 1.95
W: 0.5000 0.5000 0.5000  4 Te 2.75
N: 0.0000 0.5000 0.0000  2 Cu 1.95
N: 0.5000 0.0000 0.0000  2 Cu 1.95

## Properties
Crystal system = tetragonal
Density = 8.364 g cm⁻³
Size of the total moment = 0.1 μB per cell

***

Run x
Material: CuTeWN2
Method: DFT, PBE-GGA
State: optimized geometry

Cell lengths 3.8847, 3.8847, 5.7486 Å; angles 90.00, 90.00, 90.00 degrees
Last column: nearest neighbours and their distance in Å.
Positions (direct):
Te: 0.0000 0.0000 0.5000  4 Cu 2.75, 2 W 2.87
Cu: 0.5000 0.5000 0.5000  4 Te 2.75
W: 0.0000 0.0000 0.0000  4 N 1.94
N: 0.0000 0.5000 0.0000  2 W 1.94
N: 0.5000 0.0000 0.0000  2 W 1.94

## Properties
Crystal system = tetragonal
Density = 7.714 g cm⁻³
Size of the total moment = 0.0 μB per cell

***

Of them, run x has the highest stability.

***

Run w
Material: CuTe2WN
Method: DFT, PBE-GGA
State: optimized geometry

Cell lengths 5.2543, 5.2543, 3.4892 Å; angles 90.00, 90.00, 90.00 degrees
Last column: nearest neighbours and their distance in Å.
Positions (direct):
Te: 0.0000 0.5000 0.0000  2 Cu 2.63
Te: 0.5000 0.0000 0.0000  2 Cu 2.63
Cu: 0.0000 0.0000 0.0000  2 N 1.74
W: 0.5000 0.5000 0.5000  8 Te 3.15, 2 W 3.49
N: 0.0000 0.0000 0.5000  2 Cu 1.74

## Properties
Crystal system = tetragonal
Density = 8.905 g cm⁻³
Size of the total moment = 1.3 μB per cell

***

Run x
Material: CuTe2WN
Method: DFT, PBE-GGA
State: optimized geometry

Cell lengths 5.4033, 5.4033, 3.8037 Å; angles 90.00, 90.00, 90.00 degrees
Last column: nearest neighbours and their distance in Å.
Positions (direct):
Te: 0.0000 0.5000 0.0000  2 W 2.70
Te: 0.5000 0.0000 0.0000  2 W 2.70
Cu: 0.5000 0.5000 0.5000  8 Te 3.30
W: 0.0000 0.0000 0.0000  2 N 1.90
N: 0.0000 0.0000 0.5000  2 W 1.90

## Properties
Crystal system = tetragonal
Density = 7.724 g cm⁻³
Size of the total moment = 0.0 μB per cell

***

Of them, run x has the highest stability.

***

Run w
Material: ZnCuTe2N
Method: DFT, PBE-GGA
State: optimized geometry

Cell lengths 5.5476, 5.5476, 3.5238 Å; angles 90.00, 90.00, 90.00 degrees
Last column: nearest neighbours and their distance in Å.
Positions (direct):
Zn: 0.0000 0.0000 0.0000  2 N 1.76
Te: 0.0000 0.5000 0.0000  2 Zn 2.77
Te: 0.5000 0.0000 0.0000  2 Zn 2.77
Cu: 0.5000 0.5000 0.5000  8 Te 3.29, 2 Cu 3.52
N: 0.0000 0.0000 0.5000  2 Zn 1.76

## Properties
Crystal system = tetragonal
Density = 6.096 g cm⁻³
Size of the total moment = 0.0 μB per cell

***

Run x
Material: ZnCuTe2N
Method: DFT, PBE-GGA
State: optimized geometry

Cell lengths 5.4356, 5.4356, 3.5116 Å; angles 90.00, 90.00, 90.00 degrees
Last column: nearest neighbours and their distance in Å.
Positions (direct):
Zn: 0.5000 0.5000 0.5000  8 Te 3.24, 2 Zn 3.51
Te: 0.0000 0.5000 0.0000  2 Cu 2.72
Te: 0.5000 0.0000 0.0000  2 Cu 2.72
Cu: 0.0000 0.0000 0.0000  2 N 1.76
N: 0.0000 0.0000 0.5000  2 Cu 1.76

## Properties
Crystal system = tetragonal
Density = 6.373 g cm⁻³
Size of the total moment = 0.3 μB per cell

***

Of them, run x has the highest stability.

***

Run w
Material: ZrCuTe2N
Method: DFT, PBE-GGA
State: optimized geometry

Cell lengths 5.7719, 5.7719, 3.9605 Å; angles 90.00, 90.00, 90.00 degrees
Last column: nearest neighbours and their distance in Å.
Positions (direct):
Te: 0.0000 0.5000 0.0000  2 Zr 2.89
Te: 0.5000 0.0000 0.0000  2 Zr 2.89
Cu: 0.5000 0.5000 0.5000  8 Te 3.50
Zr: 0.0000 0.0000 0.0000  2 N 1.98
N: 0.0000 0.0000 0.5000  2 Zr 1.98

## Properties
Crystal system = tetragonal
Density = 5.336 g cm⁻³
Size of the total moment = 0.0 μB per cell

***

Run x
Material: ZrCuTe2N
Method: DFT, PBE-GGA
State: optimized geometry

Cell lengths 5.0354, 3.7546, 5.0354 Å; angles 90.00, 90.00, 90.00 degrees
Last column: nearest neighbours and their distance in Å.
Positions (direct):
Te: 0.0000 0.0000 0.5000  2 N 2.52
Te: 0.5000 0.0000 0.0000  2 N 2.52
Cu: 0.0000 0.5000 0.0000  2 N 1.88
Zr: 0.5000 0.5000 0.5000  8 Te 3.14
N: 0.0000 0.0000 0.0000  2 Cu 1.88

## Properties
Crystal system = tetragonal
Density = 7.396 g cm⁻³
Size of the total moment = 0.8 μB per cell

***

Of them, run x has the highest stability.

***

Run w
Material: TiCu3N
Method: DFT, PBE-GGA
State: optimized geometry

Cell lengths 4.5626, 4.5626, 4.5626 Å; angles 90.00, 90.00, 90.00 degrees
Last column: nearest neighbours and their distance in Å.
Positions (direct):
N: 0.5000 0.5000 0.5000  12 Cu 3.23
Cu: 0.0000 0.5000 0.0000  2 Ti 2.28
Cu: 0.0000 0.0000 0.5000  2 Ti 2.28
Cu: 0.5000 0.0000 0.0000  2 Ti 2.28
Ti: 0.0000 0.0000 0.0000  6 Cu 2.28

## Properties
Crystal system = cubic
Density = 4.415 g cm⁻³
Size of the total moment = 0.0 μB per cell

***

Run x
Material: TiCu3N
Method: DFT, PBE-GGA
State: optimized geometry

Cell lengths 3.9545, 3.9545, 3.9545 Å; angles 90.00, 90.00, 90.00 degrees
Last column: nearest neighbours and their distance in Å.
Positions (direct):
N: 0.0000 0.0000 0.0000  6 Cu 1.98
Cu: 0.0000 0.5000 0.0000  2 N 1.98
Cu: 0.0000 0.0000 0.5000  2 N 1.98
Cu: 0.5000 0.0000 0.0000  2 N 1.98
Ti: 0.5000 0.5000 0.5000  12 Cu 2.80

## Properties
Crystal system = cubic
Density = 6.780 g cm⁻³
Size of the total moment = 0.0 μB per cell

***

Of them, run x has the highest stability.